1.
Here is a relaxed structure of BaLaW from the Alexandria database. Energies are from PBE.

Cell: 3.6268 3.6268 8.4345 Å, 90.00 90.00 120.00°
Last column: nearest neighbours and their distance in Å.
Space group P3m1 (No. 156)
Unique sites:
Ba (0.0000, 0.0000, 0.0000) [1 per cell]  3 W 3.27, 6 Ba 3.63
La (0.6667, 0.3333, 0.4570) [1 per cell]  3 W 2.94
W (0.3333, 0.6667, 0.7019) [1 per cell]  3 La 2.94, 3 Ba 3.27

Summary:
Crystal system ... trigonal
Total energy ... -16.53 eV for the cell shown
E_form ... 1090 meV per atom
ΔE to the lowest computed polymorph ... 172 meV/atom

---

2.
Here is a relaxed structure of BaLaW2 from the Alexandria database. Energies are from PBE.

Cell: 4.1130 4.1130 7.0869 Å, 90.00 90.00 90.00°
Last column: nearest neighbours and their distance in Å.
Space group P4/mmm (No. 123)
Unique sites:
Ba (0.0000, 0.0000, 0.0000) [1 per cell]  2 La 3.54, 8 W 3.76
La (0.0000, 0.0000, 0.5000) [1 per cell]  8 W 3.13
W (0.5000, 0.5000, 0.3356) [2 per cell]  1 W 2.33

Summary:
Crystal system ... tetragonal
Total energy ... -28.26 eV for the cell shown
E_form ... 1123 meV per atom
ΔE to the lowest computed polymorph ... 515 meV/atom

---

3.
Here is a relaxed structure of BaLa4W from the Alexandria database. Energies are from PBE.

Cell: 9.2730 9.2730 9.2730 Å, 90.00 90.00 90.00°
Last column: nearest neighbours and their distance in Å.
Space group F-43m (No. 216)
Unique sites:
Ba (0.0000, 0.0000, 0.0000) [4 per cell]  12 La 3.86, 4 W 4.02
La (0.1207, 0.1207, 0.6207) [16 per cell]  6 La 3.17-3.39
W (0.2500, 0.2500, 0.2500) [4 per cell]  12 La 3.83, 4 Ba 4.02

Summary:
Crystal system ... cubic
Total energy ... -115.96 eV for the cell shown
E_form ... 932 meV per atom

---

4.
Here is a relaxed structure of Ba2LaW2 from the Alexandria database. Energies are from PBE.

Cell: 3.6723 3.6723 25.7217 Å, 90.00 90.00 90.00°
Last column: nearest neighbours and their distance in Å.
Space group I4/mmm (No. 139)
Unique sites:
Ba (0.0000, 0.0000, 0.1322) [4 per cell]  4 W 3.54, 4 Ba 3.67
La (0.0000, 0.0000, 0.5000) [2 per cell]  4 La 3.67
W (0.0000, 0.5000, 0.2500) [4 per cell]  4 W 2.60

Summary:
Crystal system ... tetragonal
Total energy ... -60.54 eV for the cell shown
E_form ... 882 meV per atom
ΔE to the lowest computed polymorph ... 0 meV/atom

---

5.
Here is a relaxed structure of BaLaW2 from the Alexandria database. Energies are from PBE.

Cell: 3.3729 4.9611 11.1527 Å, 90.00 90.00 90.00°
Last column: nearest neighbours and their distance in Å.
Space group Immm (No. 71)
Unique sites:
Ba (0.0000, 0.0000, 0.0000) [2 per cell]  4 La 3.00, 4 W 3.31
La (0.0000, 0.0000, 0.5000) [2 per cell]  4 Ba 3.00, 4 W 3.21
W (0.0000, 0.5000, 0.2451) [4 per cell]  4 W 3.00, 2 La 3.21, 2 Ba 3.31

Summary:
Crystal system ... orthorhombic
Total energy ... -54.13 eV for the cell shown
E_form ... 1422 meV per atom
ΔE to the lowest computed polymorph ... 814 meV/atom

---

6.
Here is a relaxed structure of BaLaW2 from the Alexandria database. Energies are from PBE.

Cell: 3.4867 5.2373 11.1952 Å, 90.00 90.00 90.00°
Last column: nearest neighbours and their distance in Å.
Space group Cmm2 (No. 35)
Unique sites:
Ba (0.0000, 0.0000, 0.0000) [2 per cell]  6 Ba 3.15-3.49, 2 W 3.36
La (0.0000, 0.5000, 0.3485) [2 per cell]  2 W 3.11, 4 La 3.15
W (0.0000, 0.0000, 0.5788) [2 per cell]  2 W 2.53
W (0.0000, 0.5000, 0.7431) [2 per cell]  2 W 2.53

Summary:
Crystal system ... orthorhombic
Total energy ... -58.69 eV for the cell shown
E_form ... 853 meV per atom
ΔE to the lowest computed polymorph ... 245 meV/atom